(1)
The following is a DFT calculation (PBE) of Cs2NdInBr6 after structural relaxation.

a = 8.304 Å, b = 8.720 Å, c = 11.977 Å
α = 90.00°, β = 89.59°, γ = 90.00°
Element x y z (fractional)
Br 0.088 0.477 0.765
Br 0.216 0.186 0.457
Br 0.912 0.523 0.235
Br 0.784 0.814 0.543
Br 0.412 0.977 0.735
Br 0.683 0.278 0.546
Br 0.588 0.023 0.265
Br 0.317 0.722 0.454
Br 0.716 0.314 0.957
Br 0.284 0.686 0.043
Br 0.183 0.222 0.046
Br 0.817 0.778 0.954
In 0.000 0.500 0.500
In 0.500 0.000 0.000
Cs 0.521 0.566 0.750
Cs 0.021 0.934 0.250
Cs 0.479 0.434 0.250
Cs 0.979 0.066 0.750
Nd 0.000 0.500 0.000
Nd 0.500 0.000 0.500


(2)
The following is a DFT calculation (PBE) of CsInNiBr2 after structural relaxation.

a = 5.570 Å, b = 4.966 Å, c = 5.570 Å
α = 90.00°, β = 90.00°, γ = 90.00°
Element x y z (fractional)
In 0.000 0.500 0.000
Br 0.000 0.000 0.500
Br 0.500 0.000 0.000
Cs 0.500 0.500 0.500
Ni 0.000 0.000 0.000


(3)
The following is a DFT calculation (PBE) of CsNpIn2Br8 after structural relaxation.

a = 7.240 Å, b = 7.407 Å, c = 9.925 Å
α = 77.12°, β = 86.25°, γ = 84.50°
Site moments in Bohr magnetons follow the coordinates.
Element x y z (fractional)
Br 0.110 0.726 0.230  -0.06
Br 0.213 0.808 0.832  -0.07
Br 0.289 0.197 0.021  -0.09
Br 0.787 0.192 0.168  -0.07
Br 0.410 0.265 0.512  -0.03
Br 0.711 0.803 0.979  -0.09
Br 0.890 0.274 0.770  -0.06
Br 0.590 0.735 0.488  -0.03
Np 0.000 0.000 0.000  3.04
In 0.482 0.449 0.730  -0.05
In 0.518 0.551 0.270  -0.05
Cs 0.000 0.000 0.500  0.00


(4)
The following is a DFT calculation (PBE) of Cs2NpInBr6 after structural relaxation.

a = 8.356 Å, b = 8.921 Å, c = 12.121 Å
α = 90.00°, β = 90.00°, γ = 90.00°
Site moments in Bohr magnetons follow the coordinates.
Element x y z (fractional)
Br 0.742 0.987 0.500  -0.01
Br 0.258 0.987 0.500  -0.01
Br 0.242 0.013 0.000  -0.01
Br 0.500 0.214 0.738  -0.02
Br 0.244 0.435 0.500  -0.01
Br 0.500 0.214 0.262  -0.02
Br 0.256 0.565 0.000  -0.01
Br 0.000 0.786 0.238  -0.02
Br 0.744 0.565 0.000  -0.01
Br 0.000 0.786 0.762  -0.02
Br 0.758 0.013 0.000  -0.01
Br 0.756 0.435 0.500  -0.01
Cs 0.000 0.207 0.280  0.00
Cs 0.500 0.793 0.220  0.00
Cs 0.500 0.793 0.780  0.00
Cs 0.000 0.207 0.720  0.00
In 0.500 0.282 0.000  -0.01
In 0.000 0.718 0.500  -0.01
Np 0.000 0.780 0.000  3.97
Np 0.500 0.220 0.500  3.97


(5)
The following is a DFT calculation (PBE) of Cs2InOsBr6 after structural relaxation.

a = 7.987 Å, b = 7.987 Å, c = 7.985 Å
α = 59.99°, β = 59.99°, γ = 90.00°
Site moments in Bohr magnetons follow the coordinates.
Element x y z (fractional)
Br 0.225 0.775 0.000  0.02
Br 0.775 0.775 0.450  0.02
Br 0.225 0.225 0.550  0.02
Br 0.775 0.775 0.000  0.02
Br 0.225 0.225 0.000  0.02
Br 0.775 0.225 0.000  0.02
In 0.500 0.500 0.000  -0.01
Cs 0.750 0.250 0.500  0.00
Cs 0.250 0.750 0.500  0.00
Os 0.000 0.000 0.000  0.76


(6)
The following is a DFT calculation (PBE) of CsPaInBr6 after structural relaxation.

a = 8.553 Å, b = 8.553 Å, c = 12.510 Å
α = 90.00°, β = 90.00°, γ = 120.00°
Site moments in Bohr magnetons follow the coordinates.
Element x y z (fractional)
Br 0.685 0.611 0.120  -0.01
Br 0.926 0.315 0.120  -0.01
Br 0.389 0.315 0.380  -0.01
Br 0.315 0.389 0.880  -0.01
Br 0.074 0.389 0.620  -0.01
Br 0.685 0.074 0.380  -0.01
Br 0.389 0.074 0.120  -0.01
Br 0.611 0.926 0.880  -0.01
Br 0.315 0.926 0.620  -0.01
Br 0.926 0.611 0.380  -0.01
Br 0.611 0.685 0.620  -0.01
Br 0.074 0.685 0.880  -0.01
In 0.000 0.000 0.000  0.00
In 0.000 0.000 0.500  0.00
Cs 0.333 0.667 0.250  0.00
Cs 0.667 0.333 0.750  0.00
Pa 0.667 0.333 0.250  1.07
Pa 0.333 0.667 0.750  1.07


(7)
The following is a DFT calculation (PBE) of CsPaIn2Br8 after structural relaxation.

a = 7.054 Å, b = 7.898 Å, c = 10.221 Å
α = 89.79°, β = 89.97°, γ = 92.26°
Element x y z (fractional)
Br 0.325 0.192 0.000
Br 0.139 0.793 0.811
Br 0.863 0.208 0.810
Br 0.675 0.808 0.000
Br 0.438 0.257 0.500
Br 0.861 0.207 0.189
Br 0.137 0.792 0.190
Br 0.562 0.743 0.500
Pa 0.000 0.000 0.000
Cs 0.000 0.000 0.500
In 0.498 0.498 0.719
In 0.502 0.502 0.281


(8)
The following is a DFT calculation (PBE) of Cs4In3PbBr12 after structural relaxation.

a = 10.081 Å, b = 10.081 Å, c = 10.081 Å
α = 109.47°, β = 109.47°, γ = 109.47°
Element x y z (fractional)
Br 0.745 0.000 0.745
Br 0.750 0.250 0.500
Br 0.500 0.250 0.750
Br 0.000 0.745 0.745
Br 0.750 0.500 0.250
Br 0.255 0.000 0.255
Br 0.000 0.255 0.255
Br 0.255 0.255 0.000
Br 0.250 0.500 0.750
Br 0.250 0.750 0.500
Br 0.500 0.750 0.250
Br 0.745 0.745 0.000
In 0.000 0.500 0.500
In 0.500 0.500 0.000
In 0.500 0.000 0.500
Cs 0.500 0.500 0.500
Cs 0.500 0.000 0.000
Cs 0.000 0.500 0.000
Cs 0.000 0.000 0.500
Pb 0.000 0.000 0.000


(9)
The following is a DFT calculation (PBE) of CsInPb2Br8 after structural relaxation.

a = 7.659 Å, b = 7.474 Å, c = 9.826 Å
α = 57.19°, β = 89.89°, γ = 88.32°
Element x y z (fractional)
Br 0.924 0.377 0.715
Br 0.558 0.280 0.456
Br 0.739 0.098 0.139
Br 0.242 0.182 0.086
Br 0.261 0.902 0.861
Br 0.758 0.818 0.914
Br 0.442 0.720 0.544
Br 0.076 0.623 0.285
Cs 0.000 0.000 0.500
In 0.000 0.000 0.000
Pb 0.550 0.251 0.759
Pb 0.450 0.749 0.241


(10)
The following is a DFT calculation (PBE) of Cs3InPb2Br9 after structural relaxation.

a = 8.367 Å, b = 8.367 Å, c = 10.226 Å
α = 90.00°, β = 90.00°, γ = 120.00°
Element x y z (fractional)
Cs 0.333 0.667 0.670
Cs 0.667 0.333 0.330
Cs 0.000 0.000 0.000
Br 0.162 0.838 0.336
Br 0.676 0.838 0.336
Br 0.500 0.500 0.000
Br 0.838 0.676 0.664
Br 0.324 0.162 0.664
Br 0.000 0.500 0.000
Br 0.500 0.000 0.000
Br 0.162 0.324 0.336
Br 0.838 0.162 0.664
Pb 0.333 0.667 0.174
Pb 0.667 0.333 0.826
In 0.000 0.000 0.500


(11)
The following is a DFT calculation (PBE) of CsInPbBr4 after structural relaxation.

a = 5.976 Å, b = 5.976 Å, c = 9.706 Å
α = 107.93°, β = 107.93°, γ = 90.00°
Element x y z (fractional)
In 0.350 0.350 0.701
Br 0.000 0.500 0.001
Br 0.500 0.000 0.001
Br 0.833 0.833 0.667
Br 0.184 0.184 0.369
Cs 0.634 0.634 0.268
Pb 0.997 0.997 0.994


(12)
The following is a DFT calculation (PBE) of CsInPbBr6 after structural relaxation.

a = 7.612 Å, b = 7.613 Å, c = 7.879 Å
α = 90.01°, β = 90.00°, γ = 60.00°
Element x y z (fractional)
Br 0.610 0.033 0.295
Br 0.357 0.610 0.295
Br 0.357 0.033 0.705
Br 0.610 0.357 0.705
Br 0.033 0.357 0.295
Br 0.033 0.610 0.705
In 0.333 0.333 0.500
Cs 0.000 0.000 0.000
Pb 0.667 0.667 0.500


(13)
The following is a DFT calculation (PBE) of Cs3In2PbBr9 after structural relaxation.

a = 8.255 Å, b = 8.255 Å, c = 10.096 Å
α = 90.00°, β = 90.00°, γ = 120.00°
Element x y z (fractional)
Br 0.344 0.172 0.672
Br 0.000 0.500 0.000
Br 0.500 0.000 0.000
Br 0.828 0.172 0.672
Br 0.500 0.500 0.000
Br 0.828 0.656 0.672
Br 0.172 0.828 0.328
Br 0.656 0.828 0.328
Br 0.172 0.344 0.328
Cs 0.000 0.000 0.000
Cs 0.667 0.333 0.337
Cs 0.333 0.667 0.663
Pb 0.000 0.000 0.500
In 0.333 0.667 0.156
In 0.667 0.333 0.844


(14)
The following is a DFT calculation (PBE) of Cs2InPb2Br7 after structural relaxation.

a = 5.948 Å, b = 5.948 Å, c = 15.488 Å
α = 78.80°, β = 78.80°, γ = 89.99°
Element x y z (fractional)
Cs 0.817 0.817 0.358
Cs 0.183 0.183 0.642
Br 0.500 0.500 0.000
Br 0.408 0.908 0.185
Br 0.697 0.697 0.598
Br 0.303 0.303 0.402
Br 0.592 0.092 0.815
Br 0.092 0.592 0.815
Br 0.908 0.408 0.185
Pb 0.399 0.399 0.201
Pb 0.601 0.601 0.799
In 0.000 0.000 0.000


(15)
The following is a DFT calculation (PBE) of Cs2InPdBr6 after structural relaxation.

a = 7.762 Å, b = 7.762 Å, c = 7.825 Å
α = 60.26°, β = 60.26°, γ = 90.00°
Element x y z (fractional)
Br 0.260 0.740 0.000
Br 0.740 0.740 0.000
Br 0.245 0.245 0.510
Br 0.260 0.260 0.000
Br 0.740 0.260 0.000
Br 0.755 0.755 0.490
In 0.000 0.000 0.000
Cs 0.750 0.250 0.500
Cs 0.250 0.750 0.500
Pd 0.500 0.500 0.000


(16)
The following is a DFT calculation (PBE) of CsIn2PdBr8 after structural relaxation.

a = 6.976 Å, b = 6.976 Å, c = 11.480 Å
α = 72.31°, β = 72.31°, γ = 60.00°
Site moments in Bohr magnetons follow the coordinates.
Element x y z (fractional)
Br 0.137 0.757 0.672  0.03
Br 0.566 0.243 0.328  0.03
Br 0.434 0.137 0.672  0.03
Br 0.863 0.566 0.328  0.03
Br 0.326 0.326 0.022  0.00
Br 0.674 0.674 0.978  0.00
Br 0.243 0.863 0.328  0.03
Br 0.757 0.434 0.672  0.03
Cs 0.000 0.000 0.000  0.00
In 0.753 0.753 0.740  0.00
In 0.247 0.247 0.260  0.00
Pd 0.500 0.500 0.500  0.70


(17)
The following is a DFT calculation (PBE) of Cs2PrInBr6 after structural relaxation.

a = 8.318 Å, b = 8.754 Å, c = 12.001 Å
α = 90.00°, β = 89.52°, γ = 90.00°
Element x y z (fractional)
Br 0.911 0.524 0.236
Br 0.089 0.476 0.764
Br 0.817 0.779 0.953
Br 0.286 0.686 0.043
Br 0.714 0.314 0.957
Br 0.786 0.814 0.543
Br 0.317 0.721 0.453
Br 0.589 0.024 0.264
Br 0.683 0.279 0.547
Br 0.214 0.186 0.457
Br 0.183 0.221 0.047
Br 0.411 0.976 0.736
Pr 0.500 0.000 0.500
Pr 0.000 0.500 0.000
In 0.000 0.500 0.500
In 0.500 0.000 0.000
Cs 0.978 0.067 0.750
Cs 0.478 0.433 0.250
Cs 0.522 0.567 0.750
Cs 0.022 0.933 0.250


(18)
The following is a DFT calculation (PBE) of CsPrIn2Br6 after structural relaxation.

a = 8.351 Å, b = 8.350 Å, c = 8.762 Å
α = 61.50°, β = 61.50°, γ = 59.93°
Element x y z (fractional)
In 0.009 0.009 0.973
In 0.521 0.521 0.439
Br 0.371 0.701 0.764
Br 0.564 0.235 0.235
Br 0.966 0.564 0.235
Br 0.235 0.967 0.235
Br 0.164 0.371 0.764
Br 0.701 0.164 0.764
Pr 0.324 0.324 0.029
Cs 0.807 0.807 0.578


(19)
The following is a DFT calculation (PBE) of Cs2InPtBr6 after structural relaxation.

a = 7.851 Å, b = 7.851 Å, c = 7.871 Å
α = 60.08°, β = 60.08°, γ = 90.00°
Element x y z (fractional)
Cs 0.250 0.750 0.500
Cs 0.750 0.250 0.500
In 0.500 0.500 0.000
Br 0.233 0.233 0.000
Br 0.233 0.767 0.000
Br 0.758 0.758 0.484
Br 0.767 0.767 0.000
Br 0.767 0.233 0.000
Br 0.242 0.242 0.516
Pt 0.000 0.000 0.000


Number 1: spin magnetization 0.00 μB/cell, formation energy (no corrections) -16.45 eV per formula unit. Number 2: spin magnetization 0.00 μB/cell, formation energy (no corrections) -2.71 eV per formula unit. Number 3: spin magnetization 2.35 μB/cell, formation energy (no corrections) -12.83 eV per formula unit. Number 4: spin magnetization 8.00 μB/cell, formation energy (no corrections) -14.02 eV per formula unit. Number 5: spin magnetization 1.00 μB/cell, formation energy (no corrections) -8.53 eV per formula unit. Number 6: spin magnetization 2.02 μB/cell, formation energy (no corrections) -12.50 eV per formula unit. Number 7: spin magnetization 0.00 μB/cell, formation energy (no corrections) -14.92 eV per formula unit. Number 8: spin magnetization 0.00 μB/cell, formation energy (no corrections) -24.27 eV per formula unit. Number 9: spin magnetization 0.00 μB/cell, formation energy (no corrections) -12.52 eV per formula unit. Number 10: spin magnetization 0.00 μB/cell, formation energy (no corrections) -18.61 eV per formula unit. Number 11: spin magnetization 0.00 μB/cell, formation energy (no corrections) -7.45 eV per formula unit. Number 12: spin magnetization 0.00 μB/cell, formation energy (no corrections) -9.81 eV per formula unit. Number 13: spin magnetization 0.00 μB/cell, formation energy (no corrections) -18.36 eV per formula unit. Number 14: spin magnetization 0.00 μB/cell, formation energy (no corrections) -13.62 eV per formula unit. Number 15: spin magnetization 0.00 μB/cell, formation energy (no corrections) -10.62 eV per formula unit. Number 16: spin magnetization 1.00 μB/cell, formation energy (no corrections) -9.38 eV per formula unit. Number 17: spin magnetization 0.00 μB/cell, formation energy (no corrections) -16.44 eV per formula unit. Number 18: spin magnetization 0.00 μB/cell, formation energy (no corrections) -13.89 eV per formula unit. Number 19: spin magnetization 0.00 μB/cell, formation energy (no corrections) -9.96 eV per formula unit.